Entry 1:
LiMnCo2: optimized geometry, PBE.

Calculated values
Relative energy among the computed polymorphs, eV per atom: 0.064
Space group: Pmm2, No. 25
Calculated formation energy, meV per atom: 211
Volume, A^3/atom: 11.985
VASP energy, eV/cell: -24.45

Cell lengths 2.559, 3.647, 5.137 Å; angles 90.00, 90.00, 90.00 degrees
Sites, in units of the cell vectors:
Li1 0.000 0.000 0.000
Mn1 0.500 0.500 0.265
Co1 0.000 0.000 0.522
Co2 0.500 0.500 0.736

Entry 2:
CdRe2Ir: optimized geometry, PBE.

Calculated values
Space group: Cm, No. 8
Calculated formation energy, meV per atom: 358
Volume, A^3/atom: 15.969
VASP energy, eV/cell: -33.24

Cell lengths 4.905, 4.905, 5.021 Å; angles 99.08, 99.08, 32.42 degrees
Sites, in units of the cell vectors:
Cd1 0.000 0.000 0.000
Re1 0.236 0.236 0.702
Re2 0.481 0.481 0.501
Ir1 0.758 0.758 0.233

Entry 3:
Pr2ErPuN4: optimized geometry, PBE.

Calculated values
E_form (uncorrected), kJ per mole of atoms: -133.9
Space group: P2/m, No. 10
Volume, A^3/atom: 15.921
VASP energy, eV/cell: -72.86

Cell lengths 6.121, 3.561, 6.183 Å; angles 90.00, 109.10, 90.00 degrees
Sites, in units of the cell vectors:
Pr1 0.000 0.000 0.000
Pr2 0.500 0.500 0.000
Er1 0.000 0.500 0.500
Pu1 0.500 0.000 0.500
N1 0.249 0.000 0.726
N2 0.264 0.500 0.278
N3 0.736 0.500 0.722
N4 0.751 0.000 0.274

Entry 4:
Sr3CaO: optimized geometry, PBE.

Calculated values
E_form (uncorrected), kJ per mole of atoms: 93.5
Relative energy among the computed polymorphs, eV per atom: 1.891
Space group: Pm-3m, No. 221
Volume, A^3/atom: 65.144
VASP energy, eV/cell: -7.16

Cell lengths 6.880, 6.880, 6.880 Å; angles 90.00, 90.00, 90.00 degrees
Sites, in units of the cell vectors:
Sr1 0.000 0.000 0.500
Sr2 0.000 0.500 0.000
Sr3 0.500 0.000 0.000
Ca1 0.000 0.000 0.000
O1 0.500 0.500 0.500